Here is BeCdAs2 after structural relaxation from Alexandria. Energies are from PBE.

Properties
Density: 5.9 g/cm3
DOS(E_F): 0.44 states/eV per atom
Uncorrected energy: -3.23 eV per atom

Cell: 3.1236 3.1236 8.2082 Å, 90.00 90.00 107.48°
Closest atoms and distances in Å follow each position.
Positions (direct):
Cd 0.5000 0.5000 0.7500  4 Cd 3.12, 4 As 3.27
Be 0.5000 0.5000 0.2500  4 As 2.32
As 0.0000 0.0000 0.0792  2 Be 2.32
As 0.0000 0.0000 0.4208  2 Be 2.32

Here is KSe2I2 after structural relaxation from Alexandria. Energies are from PBE.

Properties
Formation energy from raw total energies: -0.334 eV per atom
Density: 3.9 g/cm3
DOS(E_F): 0.88 states/eV per atom
Uncorrected energy: -2.57 eV per atom

Cell: 3.7668 3.7668 13.8813 Å, 82.20 82.20 90.00°
Closest atoms and distances in Å follow each position.
Positions (direct):
Se 0.7500 0.2500 0.5000  4 Se 2.66
Se 0.2500 0.7500 0.5000  4 Se 2.66
I 0.4129 0.4129 0.1741  4 K 3.57, 4 I 3.77
I 0.5871 0.5871 0.8259  4 K 3.57, 4 I 3.77
K 0.0000 0.0000 0.0000  8 I 3.57, 4 K 3.77